# 1
Below is a relaxed structure of PrNb2N4, with properties calculated at the GGA-PBE level.

As for the energy: -9.390 eV/atom.

The structure in CIF format:
```
data_PrNb2N4
_cell_length_a 3.1985
_cell_length_b 10.3582
_cell_length_c 10.5262
_cell_angle_alpha 90.00
_cell_angle_beta 90.00
_cell_angle_gamma 90.00
_symmetry_space_group_name_H-M 'C m c m'
_symmetry_Int_Tables_number 63
_symmetry_space_group_name_Hall '-C 2c 2'
loop_
_atom_site_label
_atom_site_type_symbol
_atom_site_fract_x
_atom_site_fract_y
_atom_site_fract_z
Pr1 Pr 0.0000 0.1155 0.2500
Nb1 Nb 0.0000 0.3707 0.0649
N1 N 0.0000 0.0000 0.0000
N2 N 0.0000 0.2657 0.6091
N3 N 0.0000 0.4306 0.2500
```

# 2
Below is a relaxed structure of CsLuGa, with properties calculated at the GGA-PBE level.

The distance to the lowest polymorph of the same formula comes out at 399.8 meV per atom. As for the energy: -1.734 eV/atom.

The structure in CIF format:
```
data_CsLuGa
_cell_length_a 7.7486
_cell_length_b 7.7486
_cell_length_c 7.7486
_cell_angle_alpha 90.00
_cell_angle_beta 90.00
_cell_angle_gamma 90.00
_symmetry_space_group_name_H-M 'F -4 3 m'
_symmetry_Int_Tables_number 216
_symmetry_space_group_name_Hall 'F -4 2 3'
loop_
_atom_site_label
_atom_site_type_symbol
_atom_site_fract_x
_atom_site_fract_y
_atom_site_fract_z
Cs1 Cs 0.0000 0.0000 0.0000
Lu1 Lu 0.2500 0.2500 0.2500
Ga1 Ga 0.2500 0.2500 0.7500
```